Entry 1:
Nd5Ho2ErSc: optimized geometry, PBE.

Total energy, eV/atom: -4.751

Lattice parameters (Å, degrees): 5.366 11.252 10.240 90.00 90.00 103.80
Fractional positions:
Nd 0.500 0.000 0.258
Nd 0.721 0.443 0.821
Nd 0.279 0.558 0.697
Nd 0.000 0.001 0.508
Nd 0.000 0.999 0.008
Nd 0.279 0.557 0.321
Nd 0.500 0.000 0.758
Nd 0.721 0.442 0.197
Nd 0.627 0.254 0.508
Nd 0.373 0.746 0.008
Ho 0.116 0.231 0.760
Ho 0.115 0.230 0.256
Ho 0.885 0.770 0.756
Ho 0.884 0.769 0.260
Sc 0.787 0.575 0.509
Sc 0.213 0.425 0.009
Er 0.601 0.203 0.008
Er 0.399 0.797 0.508

=====

Entry 2:
Nd3Ho2Er6Sc: optimized geometry, PBE.

Total energy, eV/atom: -4.732

Lattice parameters (Å, degrees): 6.128 6.128 11.682 95.02 95.02 119.98
Fractional positions:
Er 0.589 0.920 0.756
Er 0.411 0.080 0.244
Er 0.750 0.750 0.244
Er 0.920 0.589 0.756
Er 0.080 0.411 0.244
Er 0.250 0.250 0.756
Ho 0.334 0.666 0.000
Ho 0.666 0.334 0.000
Nd 0.500 0.500 0.500
Nd 0.167 0.833 0.500
Nd 0.833 0.167 0.500
Sc 0.000 0.000 0.000

=====

Short version: calculated density = 6.987; 8.039 g/cm³, in the order given.
Short version: formation energy from the elements = 0.13; 0.03 eV per atom, in the order given.
Short version: total moment = 0.000; 0.000 μB/atom, in the order given.